Cd2HgGeIr: optimized geometry, PBE.

Cell lengths 5.3362, 5.3362, 4.6529 Å; angles 90.00, 90.00, 90.00 degrees
Closest atoms and distances in Å follow each position.
Space group P4/mmm (No. 123)
Inequivalent atoms, fractional coordinates:
Cd: 0.0000 0.5000 0.0000  2 Ir 2.67
Hg: 0.0000 0.0000 0.5000  8 Cd 3.54, 4 Ge 3.77
Ge: 0.5000 0.5000 0.5000  2 Ir 2.33
Ir: 0.5000 0.5000 0.0000  2 Ge 2.33

**Calculated formation energy**: 25 meV per atom
**Total magnetic moment**: 0.00 μB per formula unit

=====

NdSmEr2: optimized geometry, PBE.

Cell lengths 8.0666, 8.0666, 8.0666 Å; angles 90.00, 90.00, 90.00 degrees
Closest atoms and distances in Å follow each position.
Space group Fm-3m (No. 225)
Inequivalent atoms, fractional coordinates:
Nd: 0.0000 0.0000 0.0000  8 Er 3.49
Sm: 0.0000 0.0000 0.5000  8 Er 3.49
Er: 0.2500 0.2500 0.2500  4 Nd 3.49, 4 Sm 3.49

**Calculated formation energy**: 111 meV per atom
**Total magnetic moment**: 0.00 μB per formula unit
**Energy above the lowest structure with this stoichiometry**: 0.095 eV/atom

=====

Number 1: total DFT energy (no corrections) -3.097 eV/atom, N(E_F) 2.10 states/eV per cell. Number 2: total DFT energy (no corrections) -4.542 eV/atom, N(E_F) 29.79 states/eV per cell.